Below is Tm4ZnGa2 after structural relaxation, with properties calculated at the PBE level.

Summary:
**Density of states at the Fermi level**: 3.745 states/eV per cell
**Energy above the most stable polymorph in this dataset**: 0 kJ/mol of formula units
**Formation enthalpy at 0 K**: -0.387 eV/atom
**Final energy**: -3.99 eV/atom

Lattice parameters (Å, degrees): 6.053 6.053 6.053 108.43 109.99 109.99
Positions (direct):
Tm 0.000 0.500 0.000
Tm 0.500 0.500 0.500
Tm 0.500 0.000 0.000
Tm 0.000 0.000 0.500
Ga 0.500 0.500 0.000
Ga 0.500 0.000 0.500
Zn 0.000 0.000 0.000

Below is In2SnBr6 after structural relaxation, with properties calculated at the PBE level.

Summary:
**Density of states at the Fermi level**: 4.510 states/eV per cell
**Energy above the most stable polymorph in this dataset**: 64 kJ/mol of formula units
**Final energy**: -2.85 eV/atom

Lattice parameters (Å, degrees): 9.611 9.870 9.870 85.47 70.32 70.32
Positions (direct):
Br 0.235 0.063 0.649
Br 0.265 0.351 0.937
Br 0.529 0.627 0.642
Br 0.735 0.649 0.063
Br 0.971 0.358 0.373
Br 0.395 0.011 0.208
Br 0.105 0.792 0.989
Br 0.471 0.373 0.358
Br 0.029 0.642 0.627
Br 0.605 0.989 0.792
Br 0.765 0.937 0.351
Br 0.895 0.208 0.011
Sn 0.250 0.075 0.925
Sn 0.750 0.925 0.075
In 0.258 0.234 0.409
In 0.242 0.591 0.766
In 0.758 0.409 0.234
In 0.742 0.766 0.591

Below is LaBeTl2 after structural relaxation, with properties calculated at the PBE level.

Summary:
**Density of states at the Fermi level**: 2.411 states/eV per cell
**Energy above the most stable polymorph in this dataset**: 67 kJ/mol of formula units
**Formation enthalpy at 0 K**: 0.160 eV/atom
**Final energy**: -3.19 eV/atom

Lattice parameters (Å, degrees): 3.542 3.547 7.747 90.00 90.00 90.00
Positions (direct):
Tl 0.000 0.000 0.050
Tl 0.000 0.000 0.450
Be 0.500 0.500 0.250
La 0.500 0.500 0.750

Below is CrCuPt after structural relaxation, with properties calculated at the PBE level.

Summary:
**Density of states at the Fermi level**: 4.388 states/eV per cell
**Energy above the most stable polymorph in this dataset**: 103 kJ/mol of formula units
**Formation enthalpy at 0 K**: 0.335 eV/atom
**Final energy**: -6.25 eV/atom

Lattice parameters (Å, degrees): 4.105 4.105 4.105 60.00 60.00 60.00
Positions (direct):
Pt 0.000 0.000 0.000
Cu 0.750 0.750 0.750
Cr 0.500 0.500 0.500

Below is NaMgMo3 after structural relaxation, with properties calculated at the PBE level.

Summary:
**Density of states at the Fermi level**: 6.873 states/eV per cell
**Energy above the most stable polymorph in this dataset**: 0 kJ/mol of formula units
**Formation enthalpy at 0 K**: 2.286 eV/atom
**Final energy**: -4.80 eV/atom

Lattice parameters (Å, degrees): 4.724 4.724 4.724 90.00 90.00 90.00
Positions (direct):
Mo 0.000 0.000 0.500
Mo 0.000 0.500 0.000
Mo 0.500 0.000 0.000
Na 0.500 0.500 0.500
Mg 0.000 0.000 0.000

Below is Sr2BOsO6 after structural relaxation, with properties calculated at the PBE level.

Summary:
**Density of states at the Fermi level**: 0.973 states/eV per cell
**Final energy**: -6.98 eV/atom

Lattice parameters (Å, degrees): 5.462 5.452 6.112 55.99 55.95 75.31
Positions (direct):
Sr 0.750 0.250 0.501
Sr 0.250 0.750 0.499
O 0.226 0.226 0.548
O 0.224 0.227 0.001
O 0.307 0.695 0.000
O 0.774 0.774 0.452
O 0.693 0.305 0.000
O 0.776 0.773 0.999
B 0.500 0.500 0.000
Os 0.000 0.000 0.000

Below is BH3F after structural relaxation, with properties calculated at the PBE level.

Summary:
**Density of states at the Fermi level**: 1.719 states/eV per cell
**Energy above the most stable polymorph in this dataset**: 529 kJ/mol of formula units
**Final energy**: -3.22 eV/atom

Lattice parameters (Å, degrees): 3.003 3.003 3.003 90.00 90.00 90.00
Positions (direct):
H 0.500 0.000 0.000
H 0.000 0.000 0.500
H 0.000 0.500 0.000
F 0.500 0.500 0.500
B 0.000 0.000 0.000

Below is PrGa8Pt2 after structural relaxation, with properties calculated at the PBE level.

Summary:
**Density of states at the Fermi level**: 7.922 states/eV per cell
**Formation enthalpy at 0 K**: -0.185 eV/atom
**Final energy**: -3.92 eV/atom

Lattice parameters (Å, degrees): 5.760 5.760 8.013 90.00 90.00 90.00
Positions (direct):
Ga 0.245 0.755 0.204
Ga 0.755 0.245 0.204
Ga 0.245 0.755 0.796
Ga 0.245 0.245 0.204
Ga 0.245 0.245 0.796
Ga 0.755 0.245 0.796
Ga 0.755 0.755 0.204
Ga 0.755 0.755 0.796
Pt 0.500 0.000 0.000
Pt 0.000 0.500 0.000
Pr 0.500 0.500 0.500

Below is KLa2Sc after structural relaxation, with properties calculated at the PBE level.

Summary:
**Density of states at the Fermi level**: 5.551 states/eV per cell
**Energy above the most stable polymorph in this dataset**: 16 kJ/mol of formula units
**Formation enthalpy at 0 K**: 0.234 eV/atom
**Final energy**: -4.09 eV/atom

Lattice parameters (Å, degrees): 3.554 3.554 12.931 90.00 90.00 112.53
Positions (direct):
La 0.000 0.000 0.454
La 0.000 0.000 0.046
Sc 0.500 0.500 0.250
K 0.500 0.500 0.750

Below is ErUTl2O6 after structural relaxation, with properties calculated at the PBE level.

Summary:
**Density of states at the Fermi level**: 2.887 states/eV per cell
**Final energy**: -7.38 eV/atom

Lattice parameters (Å, degrees): 6.115 6.116 6.120 60.06 60.06 90.05
Positions (direct):
Er 0.000 0.000 0.000
Tl 0.750 0.250 0.500
Tl 0.250 0.750 0.500
O 0.259 0.741 0.000
O 0.741 0.259 0.000
O 0.259 0.259 0.482
O 0.259 0.259 0.000
O 0.741 0.741 0.000
O 0.741 0.741 0.518
U 0.500 0.500 0.000

Below is BaV2TeRu after structural relaxation, with properties calculated at the PBE level.

Summary:
**Density of states at the Fermi level**: 10.088 states/eV per cell
**Final energy**: -4.15 eV/atom

Lattice parameters (Å, degrees): 4.923 5.002 4.923 90.00 90.00 90.00
Positions (direct):
Ba 0.000 0.000 0.000
V 0.500 0.000 0.000
V 0.000 0.000 0.500
Ru 0.000 0.500 0.000
Te 0.500 0.500 0.500

Below is SrZn2Ru after structural relaxation, with properties calculated at the PBE level.

Summary:
**Density of states at the Fermi level**: 1.545 states/eV per cell
**Formation enthalpy at 0 K**: 0.102 eV/atom
**Final energy**: -3.27 eV/atom

Lattice parameters (Å, degrees): 3.700 3.528 6.671 89.98 90.00 90.00
Positions (direct):
Sr 0.500 0.625 0.746
Ru 0.000 0.625 0.351
Zn 0.500 0.125 0.341
Zn 0.000 0.125 0.062